1.
The following is a DFT calculation (PBE) of a geometry-optimized Mn3SiSb structure.

abc: 4.9338 4.9338 4.9338
angles: 90.00 90.00 90.00
Fractional coordinates of all 5 atoms:
1 Mn 0.0000 0.0000 0.5000
2 Mn 0.0000 0.5000 0.0000
3 Mn 0.5000 0.0000 0.0000
4 Si 0.5000 0.5000 0.5000
5 Sb 0.0000 0.0000 0.0000

## Properties
Calculated density in Mg/m³: 4.35
Total moment in μB/cell: 11.04
Calculated volume in Å³ per cell: 120.1
Space-group type: Pm-3m

2.
The following is a DFT calculation (PBE) of a geometry-optimized Mn3SiSb structure.

abc: 4.4813 4.4813 4.4813
angles: 90.00 90.00 90.00
Fractional coordinates of all 5 atoms:
1 Mn 0.0000 0.0000 0.5000
2 Mn 0.0000 0.5000 0.0000
3 Mn 0.5000 0.0000 0.0000
4 Si 0.0000 0.0000 0.0000
5 Sb 0.5000 0.5000 0.5000

## Properties
Calculated density in Mg/m³: 5.81
Total moment in μB/cell: 9.60
Calculated volume in Å³ per cell: 90.0
Space-group type: Pm-3m

The energy of each structure relative to the most stable one, in kJ/mol of atoms, is as follows: 1 74.7; 2 0.0.

1.
The following is a DFT calculation (PBE) of a geometry-optimized MnSn3Sb structure.

abc: 5.5823 5.5823 5.5823
angles: 90.00 90.00 90.00
Fractional coordinates of all 5 atoms:
1 Mn 0.0000 0.0000 0.0000
2 Sn 0.0000 0.5000 0.5000
3 Sn 0.5000 0.0000 0.5000
4 Sn 0.5000 0.5000 0.0000
5 Sb 0.5000 0.5000 0.5000

## Properties
Calculated density in Mg/m³: 5.09
Total moment in μB/cell: 0.77
Calculated volume in Å³ per cell: 174.0
Space-group type: Pm-3m

2.
The following is a DFT calculation (PBE) of a geometry-optimized MnSn3Sb structure.

abc: 5.1451 5.1451 5.1451
angles: 90.00 90.00 90.00
Fractional coordinates of all 5 atoms:
1 Mn 0.0000 0.0000 0.0000
2 Sn 0.0000 0.0000 0.5000
3 Sn 0.0000 0.5000 0.0000
4 Sn 0.5000 0.0000 0.0000
5 Sb 0.5000 0.5000 0.5000

## Properties
Calculated density in Mg/m³: 6.50
Total moment in μB/cell: 0.00
Calculated volume in Å³ per cell: 136.2
Space-group type: Pm-3m

The energy of each structure relative to the most stable one, in kJ/mol of atoms, is as follows: 1 121.9; 2 0.0.